# 1
## Cs3PSe4 (GGA-PBE)

Data for a geometry-optimized Cs3PSe4 structure.

Structure (CIF):
```
data_Cs3PSe4
_chemical_formula_sum 'Cs12 P4 Se16'
_symmetry_space_group_name_H-M 'P n m a'
_symmetry_Int_Tables_number 62
_cell_length_a 10.169
_cell_length_b 12.208
_cell_length_c 10.253
_cell_angle_alpha 90.00
_cell_angle_beta 90.00
_cell_angle_gamma 90.00
loop_
_symmetry_equiv_pos_as_xyz
'x,y,z'
'-x,-y,-z'
'-x+1/2,-y,z+1/2'
'x+1/2,y,-z+1/2'
'x+1/2,-y+1/2,-z+1/2'
'-x+1/2,y+1/2,z+1/2'
'-x,y+1/2,-z'
'x,-y+1/2,z'
loop_
_atom_site_label
_atom_site_type_symbol
_atom_site_fract_x
_atom_site_fract_y
_atom_site_fract_z
_atom_site_occupancy
Cs1 Cs 0.040 0.042 0.203 1
Cs2 Cs 0.151 0.750 0.410 1
P1 P 0.227 0.750 0.980 1
Se1 Se 0.026 0.750 0.069 1
Se2 Se 0.168 0.098 0.542 1
Se3 Se 0.212 0.750 0.763 1
```

Computed properties:
Energy relative to the elements, uncorrected in eV per atom: -0.91


# 2
## AlTlGa4 (GGA-PBE)

Data for a geometry-optimized AlTlGa4 structure.

Structure (CIF):
```
data_AlTlGa4
_chemical_formula_sum 'Al1 Tl1 Ga4'
_symmetry_space_group_name_H-M 'P 6/m m m'
_symmetry_Int_Tables_number 191
_symmetry_space_group_name_Hall '-P 6 2'
_cell_length_a 4.6200
_cell_length_b 4.6200
_cell_length_c 7.0586
_cell_angle_alpha 90.00
_cell_angle_beta 90.00
_cell_angle_gamma 120.00
loop_
_atom_site_label
_atom_site_type_symbol
_atom_site_fract_x
_atom_site_fract_y
_atom_site_fract_z
_atom_site_occupancy
Al1 Al 0.0000 0.0000 0.0000 1
Tl1 Tl 0.0000 0.0000 0.5000 1
Ga1 Ga 0.3333 0.6667 0.1986 1
```

Computed properties:
Formation enthalpy at 0 K in eV per atom: 0.077


# 3
## HgGeOs3 (GGA-PBE)

Data for a geometry-optimized HgGeOs3 structure.

Structure (CIF):
```
data_HgGeOs3
_chemical_formula_sum 'Hg1 Ge1 Os3'
_symmetry_space_group_name_H-M 'P m -3 m'
_symmetry_Int_Tables_number 221
_symmetry_space_group_name_Hall '-P 4 2 3'
_cell_length_a 4.567
_cell_length_b 4.567
_cell_length_c 4.567
_cell_angle_alpha 90.00
_cell_angle_beta 90.00
_cell_angle_gamma 90.00
loop_
_atom_site_label
_atom_site_type_symbol
_atom_site_fract_x
_atom_site_fract_y
_atom_site_fract_z
_atom_site_occupancy
Hg1 Hg 0.000 0.000 0.000 1
Ge1 Ge 0.500 0.500 0.500 1
Os1 Os 0.000 0.500 0.500 1
```

Computed properties:
Formation enthalpy at 0 K in eV per atom: 1.732


# 4
## GeRu2W (GGA-PBE)

Data for a geometry-optimized GeRu2W structure.

Structure (CIF):
```
data_GeRu2W
_chemical_formula_sum 'Ge1 Ru2 W1'
_symmetry_space_group_name_H-M 'P 4/m m m'
_symmetry_Int_Tables_number 123
_symmetry_space_group_name_Hall '-P 4 2'
_cell_length_a 2.926
_cell_length_b 2.926
_cell_length_c 6.744
_cell_angle_alpha 90.00
_cell_angle_beta 90.00
_cell_angle_gamma 90.00
loop_
_atom_site_label
_atom_site_type_symbol
_atom_site_fract_x
_atom_site_fract_y
_atom_site_fract_z
_atom_site_occupancy
Ge1 Ge 0.000 0.000 0.000 1
Ru1 Ru 0.500 0.500 0.228 1
W1 W 0.000 0.000 0.500 1
```

Computed properties:
Formation enthalpy at 0 K in eV per atom: -0.103


Short version: magnetization = 0.00 0.00 2.03 0.00 μB per cell, in the order given.
Short version: raw total energy = -3.65 -2.96 -5.99 -9.13 eV/atom, in the order given.
Short version: volume = 318 130 95 58 Å³/f.u., in the order given.